Compound: Be2HgBr
Source: Alexandria
Functional: PBE
Structure: optimized geometry Values from VASP.

For the uncorrected formation energy, the calculation gives 0.84 eV per atom.

The structure in Quantum ESPRESSO input format:
```
&SYSTEM
  ibrav = 0, nat = 4, ntyp = 3
/
ATOMIC_SPECIES
Br 79.90 Br.upf
Hg 200.59 Hg.upf
Be 9.01 Be.upf
CELL_PARAMETERS angstrom
-4.170 1.410 1.841
-1.553 -1.356 -4.303
-0.495 -2.883 1.087
ATOMIC_POSITIONS angstrom
Br -2.332 -0.737 1.464
Hg -1.024 -2.119 -1.608
Be -2.862 0.027 -1.231
Be 0.000 0.000 0.000
```

=====

Compound: Y5Ag2Os2
Source: Alexandria
Functional: PBE
Structure: optimized geometry Values from VASP.

For the energy relative to the elements, the calculation gives -248 meV/atom.

The structure in Quantum ESPRESSO input format:
```
&SYSTEM
  ibrav = 0, nat = 18, ntyp = 3
/
ATOMIC_SPECIES
Os 190.23 Os.upf
Y 88.91 Y.upf
Ag 107.87 Ag.upf
CELL_PARAMETERS angstrom
-7.432 0.246 0.370
-0.273 -7.559 -0.470
-3.339 -0.382 8.088
ATOMIC_POSITIONS angstrom
Os -3.105 -6.571 -0.272
Os -0.956 -2.858 -0.137
Os -6.749 -4.456 0.036
Os -4.600 -0.743 0.172
Y -8.714 -6.272 5.960
Y -9.613 -2.458 6.247
Y -5.860 -1.551 6.126
Y -5.184 -6.145 1.861
Y -3.852 -3.657 -0.050
Y -6.084 -2.331 2.148
Y -4.961 -5.365 5.839
Y -2.331 -1.424 2.027
Y 0.000 0.000 0.000
Y -1.431 -5.237 1.741
Ag -7.356 -3.819 4.597
Ag -3.503 -0.162 4.648
Ag -7.268 0.026 3.810
Ag -3.689 -3.877 3.390
```

=====

Number 1: M_tot 0.00 Bohr magnetons per cell. Number 2: M_tot 0.00 Bohr magnetons per cell.